Record 1
Computed, not measured: an optimized crystal structure of Li2DyAg6 at the PBE level of DFT.

Computed properties:
Uncorrected energy in eV/atom: -2.97
Formation enthalpy at 0 K in meV/atom: -129.8

The structure in POSCAR format:
```
Li2DyAg6
1.0
7.4051 -4.8242 0.0000
7.4051 4.8242 0.0000
0.0000 0.0000 4.6473
Li Dy Ag
4 2 12
Direct
0.1397 0.3037 0.2500
0.3037 0.1397 0.7500
0.6963 0.8603 0.2500
0.8603 0.6963 0.7500
0.2489 0.7511 0.7500
0.7511 0.2489 0.2500
0.0054 0.7993 0.2500
0.1295 0.4604 0.7500
0.2007 0.9946 0.2500
0.3129 0.4941 0.2500
0.4604 0.1295 0.2500
0.4941 0.3129 0.7500
0.5059 0.6871 0.2500
0.5396 0.8705 0.7500
0.6871 0.5059 0.7500
0.7993 0.0054 0.7500
0.8705 0.5396 0.2500
0.9946 0.2007 0.7500
```


Record 2
Computed, not measured: an optimized crystal structure of LiDyAg4 at the PBE level of DFT.

Computed properties:
Uncorrected energy in eV/atom: -3.13
Formation enthalpy at 0 K in meV/atom: -139.5
Energy relative to the lowest polymorph listed for this composition in meV per atom: 30

The structure in POSCAR format:
```
LiDyAg4
1.0
0.0000 3.9383 3.9383
3.9383 0.0000 3.9383
3.9383 3.9383 0.0000
Li Dy Ag
1 1 4
Direct
0.0000 0.0000 0.0000
0.7500 0.7500 0.7500
0.3746 0.3746 0.3746
0.3746 0.3746 0.8763
0.3746 0.8763 0.3746
0.8763 0.3746 0.3746
```


Record 3
Computed, not measured: an optimized crystal structure of Li2DyAg at the PBE level of DFT.

Computed properties:
Uncorrected energy in eV/atom: -2.86
Formation enthalpy at 0 K in meV/atom: -37.1
Energy relative to the lowest polymorph listed for this composition in meV per atom: 0

The structure in POSCAR format:
```
Li2DyAg
1.0
2.3292 1.3448 4.5272
-2.3292 1.3448 4.5272
0.0000 -2.6896 4.5272
Li Dy Ag
2 1 1
Direct
0.0000 0.0000 0.0000
0.2715 0.2715 0.2715
0.7795 0.7795 0.7795
0.5559 0.5559 0.5559
```